Entry 1:
CaPr5Sn4 | PBE | relaxed

The calculation puts the calculated formation energy at -0.317 eV/atom. Its spin magnetization is 0.00 μB per atom. The value obtained for the energy is -4.508 eV per atom. Its space-group type is C2/m, No. 12.

Lattice parameters (Å, degrees): 3.807 10.086 10.249 108.17 100.70 90.00
Fractional positions:
Ca1 0.500 0.000 0.000
Sn1 0.327 0.897 0.654
Sn2 0.005 0.255 0.011
Sn3 0.995 0.745 0.989
Sn4 0.673 0.103 0.346
Pr1 0.829 0.645 0.659
Pr2 0.500 0.500 0.000
Pr3 0.161 0.841 0.322
Pr4 0.839 0.159 0.678
Pr5 0.171 0.355 0.341


Entry 2:
PrDyAgIr | PBE | relaxed

The calculation puts the calculated formation energy at -0.485 eV/atom. Its spin magnetization is 0.00 μB per atom. The value obtained for the energy is -5.758 eV per atom. Its space-group type is F-43m, No. 216.

Lattice parameters (Å, degrees): 5.078 5.078 5.078 60.00 60.00 60.00
Fractional positions:
Dy1 0.000 0.000 0.000
Pr1 0.500 0.500 0.500
Ir1 0.750 0.750 0.750
Ag1 0.250 0.250 0.250


Entry 3:
CePm2NdP4 | PBE | relaxed

The calculation puts the calculated formation energy at -1.548 eV/atom. Its spin magnetization is 0.05 μB per atom. The value obtained for the energy is -6.779 eV per atom. Its space-group type is P2/m, No. 10.

Lattice parameters (Å, degrees): 4.128 7.148 7.146 109.39 90.00 90.00
Fractional positions:
P1 0.500 0.254 0.249
P2 0.000 0.745 0.247
P3 0.000 0.255 0.753
P4 0.500 0.746 0.751
Ce1 0.500 0.500 0.000
Pm1 0.000 0.500 0.500
Pm2 0.500 0.000 0.500
Nd1 0.000 0.000 0.000


Entry 4:
LiLaPrY | PBE | relaxed

The calculation puts the calculated formation energy at 0.161 eV/atom. Its spin magnetization is 0.00 μB per atom. The value obtained for the energy is -4.360 eV per atom. Its space-group type is F-43m, No. 216.

Lattice parameters (Å, degrees): 5.672 5.672 5.672 60.00 60.00 60.00
Fractional positions:
Pr1 0.500 0.500 0.500
Li1 0.250 0.250 0.250
La1 0.000 0.000 0.000
Y1 0.750 0.750 0.750


Entry 5:
YAlSe3 | PBE | relaxed

The excess energy over the best structure of this formula in the dataset is 7.0 meV/atom. Its spin magnetization is 0.00 μB per atom. The value obtained for the energy is -5.496 eV per atom. Its space-group type is P1, No. 1. The calculation puts the raw formation energy at -1.3638 eV per atom.

Lattice parameters (Å, degrees): 11.395 6.669 4.024 90.00 79.97 89.43
Fractional positions:
Se1 0.947 0.197 0.622
Se2 0.362 0.670 0.416
Se3 0.284 0.177 0.955
Se4 0.733 0.686 0.727
Se5 0.655 0.182 0.266
Se6 0.070 0.695 0.060
Y1 0.168 0.962 0.512
Y2 0.849 0.467 0.170
Al1 0.266 0.531 0.963
Al2 0.751 0.040 0.719


Entry 6:
SiP2Ru | PBE | relaxed

Its spin magnetization is 0.00 μB per atom. The value obtained for the energy is -6.256 eV per atom. Its space-group type is Immm, No. 71. The calculation puts the raw formation energy at 0.1241 eV per atom.

Lattice parameters (Å, degrees): 5.928 5.928 5.928 152.56 140.75 48.56
Fractional positions:
Ru1 0.750 0.250 0.500
Si1 0.250 0.750 0.500
P1 0.559 0.559 0.000
P2 0.941 0.941 0.000


Entry 7:
Zr3Pt | PBE | relaxed

The calculation puts the calculated formation energy at -0.506 eV/atom. Its spin magnetization is 0.00 μB per atom. The value obtained for the energy is -8.427 eV per atom. Its space-group type is Immm, No. 71.

Lattice parameters (Å, degrees): 5.717 5.717 5.717 143.36 131.99 61.88
Fractional positions:
Zr1 0.737 0.737 0.000
Zr2 0.000 0.500 0.500
Zr3 0.263 0.263 0.000
Pt1 0.500 0.000 0.500


Entry 8:
Tm12Bi3C5 | PBE | relaxed

The calculation puts the calculated formation energy at -0.307 eV/atom. Its spin magnetization is 0.00 μB per atom. The value obtained for the energy is -5.878 eV per atom. Its space-group type is Ia-3d, No. 230.

Lattice parameters (Å, degrees): 13.615 13.615 13.615 109.47 109.47 109.47
Fractional positions:
C1 0.000 0.000 0.500
C2 0.875 0.250 0.625
C3 0.750 0.125 0.875
C4 0.500 0.500 0.500
C5 0.500 0.000 0.000
C6 0.625 0.875 0.250
C7 0.875 0.625 0.750
C8 0.375 0.250 0.125
C9 0.125 0.375 0.250
C10 0.250 0.875 0.125
C11 0.250 0.375 0.625
C12 0.500 0.000 0.500
C13 0.375 0.125 0.750
C14 0.625 0.750 0.875
C15 0.000 0.500 0.500
C16 0.125 0.750 0.375
C17 0.750 0.625 0.375
C18 0.500 0.500 0.000
C19 0.000 0.000 0.000
C20 0.000 0.500 0.000
Tm1 0.989 0.597 0.185
Tm2 0.815 0.913 0.304
Tm3 0.391 0.403 0.087
Tm4 0.587 0.696 0.685
Tm5 0.609 0.011 0.196
Tm6 0.315 0.511 0.403
Tm7 0.097 0.185 0.489
Tm8 0.109 0.696 0.511
Tm9 0.413 0.304 0.315
Tm10 0.587 0.891 0.403
Tm11 0.413 0.109 0.597
Tm12 0.011 0.403 0.815
Tm13 0.489 0.685 0.097
Tm14 0.011 0.609 0.696
Tm15 0.903 0.087 0.891
Tm16 0.403 0.391 0.587
Tm17 0.511 0.196 0.109
Tm18 0.391 0.989 0.804
Tm19 0.685 0.489 0.597
Tm20 0.185 0.097 0.989
Tm21 0.815 0.903 0.011
Tm22 0.196 0.685 0.087
Tm23 0.109 0.413 0.097
Tm24 0.196 0.511 0.609
Tm25 0.696 0.587 0.185
Tm26 0.403 0.011 0.315
Tm27 0.913 0.815 0.804
Tm28 0.609 0.597 0.913
Tm29 0.989 0.391 0.304
Tm30 0.489 0.804 0.891
Tm31 0.891 0.304 0.489
Tm32 0.804 0.489 0.391
Tm33 0.804 0.315 0.913
Tm34 0.696 0.109 0.011
Tm35 0.891 0.587 0.903
Tm36 0.087 0.185 0.196
Tm37 0.097 0.913 0.109
Tm38 0.597 0.609 0.413
Tm39 0.903 0.815 0.511
Tm40 0.913 0.097 0.609
Tm41 0.087 0.903 0.391
Tm42 0.511 0.315 0.903
Tm43 0.304 0.891 0.989
Tm44 0.185 0.087 0.696
Tm45 0.685 0.196 0.587
Tm46 0.315 0.804 0.413
Tm47 0.597 0.989 0.685
Tm48 0.304 0.413 0.815
Bi1 0.750 0.875 0.625
Bi2 0.250 0.125 0.375
Bi3 0.625 0.375 0.750
Bi4 0.375 0.625 0.250
Bi5 0.375 0.750 0.625
Bi6 0.250 0.625 0.875
Bi7 0.125 0.250 0.875
Bi8 0.875 0.125 0.250
Bi9 0.750 0.375 0.125
Bi10 0.875 0.750 0.125
Bi11 0.125 0.875 0.750
Bi12 0.625 0.250 0.375


Entry 9:
La4PbSeS2 | PBE | relaxed

Its spin magnetization is 0.00 μB per atom. The value obtained for the energy is -6.086 eV per atom. Its space-group type is P2/m, No. 10. The calculation puts the raw formation energy at -1.6911 eV per atom.

Lattice parameters (Å, degrees): 4.343 7.523 7.515 70.40 90.00 90.00
Fractional positions:
La1 0.500 0.767 0.251
La2 0.000 0.773 0.734
La3 0.500 0.233 0.749
La4 0.000 0.227 0.266
S1 0.000 0.000 0.000
S2 0.500 0.000 0.500
Se1 0.000 0.500 0.500
Pb1 0.500 0.500 0.000


Entry 10:
Cs3Zn2AgF9 | PBE | relaxed

Its spin magnetization is 0.07 μB per atom. The value obtained for the energy is -3.920 eV per atom. Its space-group type is P-3m1, No. 164. The calculation puts the raw formation energy at -2.2668 eV per atom.

Lattice parameters (Å, degrees): 6.168 6.168 7.576 90.00 90.00 120.00
Fractional positions:
F1 0.176 0.824 0.319
F2 0.647 0.824 0.319
F3 0.000 0.500 0.000
F4 0.824 0.647 0.681
F5 0.176 0.353 0.319
F6 0.500 0.500 0.000
F7 0.353 0.176 0.681
F8 0.824 0.176 0.681
F9 0.500 0.000 0.000
Ag1 0.000 0.000 0.500
Cs1 0.000 0.000 0.000
Cs2 0.333 0.667 0.664
Cs3 0.667 0.333 0.336
Zn1 0.333 0.667 0.157
Zn2 0.667 0.333 0.843


Entry 11:
Cd3P | PBE | relaxed

The calculation puts the calculated formation energy at 0.189 eV/atom. The excess energy over the best structure of this formula in the dataset is 99.2 meV/atom. Its spin magnetization is 0.00 μB per atom. The value obtained for the energy is -1.850 eV per atom. Its space-group type is Imm2, No. 44.

Lattice parameters (Å, degrees): 2.976 4.958 6.637 111.93 102.95 90.00
Fractional positions:
Cd1 0.712 0.128 0.425
Cd2 0.288 0.703 0.575
Cd3 0.500 0.418 0.000
P1 0.000 0.918 0.000


Entry 12:
Sr2Br | PBE | relaxed

The excess energy over the best structure of this formula in the dataset is 743.0 meV/atom. Its spin magnetization is 0.00 μB per atom. The value obtained for the energy is -1.897 eV per atom. Its space-group type is Fd-3m, No. 227. The calculation puts the raw formation energy at -0.2183 eV per atom.

Lattice parameters (Å, degrees): 7.618 7.618 7.618 60.00 60.00 60.00
Fractional positions:
Br1 0.500 0.500 0.500
Br2 0.750 0.750 0.750
Sr1 0.125 0.125 0.125
Sr2 0.625 0.125 0.125
Sr3 0.125 0.625 0.125
Sr4 0.125 0.125 0.625